Record 1
## Sm4OsBr2Cl (PBE)

Data for crystalline Sm4OsBr2Cl at its relaxed geometry.

Calculated values
The value obtained for the theoretical density is 7.2 Mg/m³. Its space group is P2/m (10). The spin magnetization comes out at 0.000 μB/f.u. As for the energy: -5.379 eV per atom.

Cell: 4.0793 7.4547 7.9226 Å, 108.08 90.00 90.00°
With the nearest neighbours (Å) after each atom.
Atoms (fractional coordinates):
Sm  0.5000  0.2551  0.1979  1 Os 2.75, 2 Cl 2.90
Cl  0.0000  0.0000  0.0000  6 Sm 2.90-3.10
Br  0.5000  0.0000  0.5000  6 Sm 3.36-3.49
Os  0.5000  0.5000  0.0000  6 Sm 2.75
Br  0.0000  0.5000  0.5000  6 Sm 3.18-3.24
Sm  0.5000  0.7449  0.8021  1 Os 2.75, 2 Cl 2.90
Sm  0.0000  0.7051  0.2031  2 Os 2.75
Sm  0.0000  0.2949  0.7969  2 Os 2.75

Record 2
## Y3ScMo (PBE)

Data for crystalline Y3ScMo at its relaxed geometry.

Calculated values
The calculation puts the offset from the most stable computed form at 0.000 eV per atom. The value obtained for the theoretical density is 4.3 Mg/m³. Its space group is Pm-3m (221). As for the calculated formation energy: 48 kJ per mole of atoms. The spin magnetization comes out at 0.002 μB/f.u. As for the energy: -6.816 eV per atom.

Cell: 5.3787 5.3787 5.3787 Å, 90.00 90.00 90.00°
With the nearest neighbours (Å) after each atom.
Atoms (fractional coordinates):
Y  0.0000  0.0000  0.5000  2 Mo 2.69
Y  0.5000  0.0000  0.0000  2 Mo 2.69
Y  0.0000  0.5000  0.0000  2 Mo 2.69
Mo  0.0000  0.0000  0.0000  6 Y 2.69
Sc  0.5000  0.5000  0.5000  12 Y 3.80

Record 3
## LiZnHRh (PBE)

Data for crystalline LiZnHRh at its relaxed geometry.

Calculated values
The value obtained for the theoretical density is 6.1 Mg/m³. Its space group is Amm2 (38). The spin magnetization comes out at 0.000 μB/f.u. As for the energy: -3.775 eV per atom.

Cell: 2.8126 3.9196 4.7702 Å, 114.26 90.00 90.00°
With the nearest neighbours (Å) after each atom.
Atoms (fractional coordinates):
Li  0.5000  0.2547  0.5094  4 H 2.51, 3 Rh 2.59-2.63
Zn  0.0000  0.9479  0.8958  1 H 2.37, 4 Rh 2.58
Rh  0.5000  0.5524  0.1048  2 H 1.77
H  0.0000  0.6754  0.3507  2 Rh 1.77